Record 1
## CrIr3Rh12 (GGA-PBE)

Data for CrIr3Rh12 after structural relaxation.

Values from the calculation:
* size of the total moment: 0.10 μB per atom
* final energy: -124.918 eV/cell
* calculated volume: 226 Å³ per cell
* DFT formation energy: -0.031 eV/atom

a = 3.8391 Å, b = 3.8391 Å, c = 15.3366 Å
α = 90.00°, β = 90.00°, γ = 90.00°
Last column: nearest neighbours and their distance in Å.
Fractional coordinates of all 16 atoms:
Cr: 0.0000 0.0000 0.0000  12 Rh 2.69-2.71
Ir: 0.0000 0.0000 0.2500  12 Rh 2.70-2.74
Ir: 0.0000 0.0000 0.5000  12 Rh 2.71-2.72
Ir: 0.0000 0.0000 0.7500  12 Rh 2.70-2.74
Rh: 0.5000 0.5000 0.0000  8 Rh 2.69, 4 Cr 2.71
Rh: 0.5000 0.5000 0.2482  4 Ir 2.71, 8 Rh 2.72
Rh: 0.5000 0.5000 0.5000  4 Ir 2.71, 8 Rh 2.72
Rh: 0.5000 0.5000 0.7518  4 Ir 2.71, 8 Rh 2.72
Rh: 0.5000 0.0000 0.1225  8 Rh 2.69-2.72, 2 Cr 2.69, 2 Ir 2.74
Rh: 0.5000 0.0000 0.3741  4 Ir 2.70-2.72, 8 Rh 2.71-2.72
Rh: 0.5000 0.0000 0.6259  4 Ir 2.70-2.72, 8 Rh 2.71-2.72
Rh: 0.5000 0.0000 0.8775  8 Rh 2.69-2.72, 2 Cr 2.69, 2 Ir 2.74
Rh: 0.0000 0.5000 0.1225  8 Rh 2.69-2.72, 2 Cr 2.69, 2 Ir 2.74
Rh: 0.0000 0.5000 0.3741  4 Ir 2.70-2.72, 8 Rh 2.71-2.72
Rh: 0.0000 0.5000 0.6259  4 Ir 2.70-2.72, 8 Rh 2.71-2.72
Rh: 0.0000 0.5000 0.8775  8 Rh 2.69-2.72, 2 Cr 2.69, 2 Ir 2.74

***

Record 2
## Rb3Pm2BiSe6 (GGA-PBE)

Data for Rb3Pm2BiSe6 after structural relaxation.

Values from the calculation:
* E_form (uncorrected): -1.422 eV/atom
* size of the total moment: 0.00 μB per atom
* final energy: -54.254 eV/cell
* calculated volume: 395 Å³ per cell

a = 7.5418 Å, b = 7.5418 Å, c = 8.4002 Å
α = 98.60°, β = 98.60°, γ = 120.00°
Last column: nearest neighbours and their distance in Å.
Fractional coordinates of all 12 atoms:
Rb: 0.1656 0.8344 0.5000  6 Se 3.47-3.48
Rb: 0.8344 0.1656 0.5000  6 Se 3.47-3.48
Rb: 0.5000 0.5000 0.5000  6 Se 3.47-3.48
Pm: 0.3332 0.6668 0.0000  6 Se 2.98
Pm: 0.6668 0.3332 0.0000  6 Se 2.98
Bi: 0.0000 0.0000 0.0000  6 Se 2.99
Se: 0.9331 0.5981 0.7994  2 Pm 2.98, 1 Bi 2.99
Se: 0.7317 0.7317 0.2004  2 Pm 2.98, 1 Bi 2.99
Se: 0.0669 0.4019 0.2006  2 Pm 2.98, 1 Bi 2.99
Se: 0.5981 0.9331 0.7994  2 Pm 2.98, 1 Bi 2.99
Se: 0.2683 0.2683 0.7996  2 Pm 2.98, 1 Bi 2.99
Se: 0.4019 0.0669 0.2006  2 Pm 2.98, 1 Bi 2.99

***

Record 3
## PrCu9Ni2 (GGA-PBE)

Data for PrCu9Ni2 after structural relaxation.

Values from the calculation:
* size of the total moment: 0.00 μB per atom
* final energy: -52.760 eV/cell
* calculated volume: 166 Å³ per cell
* DFT formation energy: 0.037 eV/atom

a = 4.9373 Å, b = 4.9373 Å, c = 8.3570 Å
α = 72.82°, β = 72.82°, γ = 60.00°
Last column: nearest neighbours and their distance in Å.
Fractional coordinates of all 12 atoms:
Pr: 0.0000 0.0000 0.0000  6 Cu 2.85
Cu: 0.6658 0.6658 0.0027  6 Cu 2.53
Cu: 0.3342 0.3342 0.9973  6 Cu 2.53
Cu: 0.5000 0.5000 0.5000  6 Cu 2.35
Cu: 0.4079 0.4079 0.2654  7 Cu 2.35-2.53, 1 Ni 2.62
Cu: 0.9189 0.4079 0.2654  7 Cu 2.35-2.53, 1 Ni 2.62
Cu: 0.4079 0.9189 0.2654  7 Cu 2.35-2.53, 1 Ni 2.62
Cu: 0.5921 0.5921 0.7346  7 Cu 2.35-2.53, 1 Ni 2.62
Cu: 0.5921 0.0811 0.7346  7 Cu 2.35-2.53, 1 Ni 2.62
Cu: 0.0811 0.5921 0.7346  7 Cu 2.35-2.53, 1 Ni 2.62
Ni: 0.8494 0.8494 0.4518  12 Cu 2.62-2.88
Ni: 0.1506 0.1506 0.5482  12 Cu 2.62-2.88

***

Record 4
## Ho3B2TeRh9 (GGA-PBE)

Data for Ho3B2TeRh9 after structural relaxation.

Values from the calculation:
* E_form (uncorrected): -0.636 eV/atom
* size of the total moment: 0.00 μB per atom
* final energy: -105.936 eV/cell
* calculated volume: 261 Å³ per cell

a = 5.8714 Å, b = 5.8714 Å, c = 8.7455 Å
α = 90.00°, β = 90.00°, γ = 120.00°
Last column: nearest neighbours and their distance in Å.
Fractional coordinates of all 15 atoms:
Ho: 0.3333 0.6667 0.7113  9 Rh 2.94-3.04
Ho: 0.0000 0.0000 0.0000  12 Rh 2.87-2.94
Ho: 0.6667 0.3333 0.2887  9 Rh 2.94-3.04
B: 0.3333 0.6667 0.1468  6 Rh 2.05-2.13
B: 0.6667 0.3333 0.8532  6 Rh 2.05-2.13
Te: 0.0000 0.0000 0.5000  6 Rh 2.60
Rh: 0.8382 0.1618 0.7306  1 B 2.05
Rh: 0.8382 0.6764 0.7306  1 B 2.05
Rh: 0.3236 0.1618 0.7306  1 B 2.05
Rh: 0.6764 0.8382 0.2694  1 B 2.05
Rh: 0.1618 0.3236 0.2694  1 B 2.05
Rh: 0.1618 0.8382 0.2694  1 B 2.05
Rh: 0.5000 0.0000 0.0000  2 B 2.13
Rh: 0.0000 0.5000 0.0000  2 B 2.13
Rh: 0.5000 0.5000 0.0000  2 B 2.13

***

Record 5
## BaTeW2 (GGA-PBE)

Data for BaTeW2 after structural relaxation.

Values from the calculation:
* E_form (uncorrected): 1.595 eV/atom
* size of the total moment: 0.00 μB per atom
* final energy: -49.183 eV/cell
* calculated volume: 210 Å³ per cell

a = 8.3060 Å, b = 8.3060 Å, c = 6.6120 Å
α = 51.09°, β = 51.09°, γ = 90.00°
Last column: nearest neighbours and their distance in Å.
Fractional coordinates of all 8 atoms:
Te: 0.5000 0.5000 0.0000  4 W 2.67
Te: 0.2500 0.7500 0.5000  4 W 2.67
Ba: 0.0000 0.0000 0.0000  2 Te 3.04
Ba: 0.7500 0.2500 0.5000  2 Te 3.04
W: 0.5562 0.1250 0.2500  2 Te 2.67
W: 0.1938 0.6250 0.2500  2 Te 2.67
W: 0.3750 0.4438 0.7500  2 Te 2.67
W: 0.8750 0.8062 0.7500  2 Te 2.67

***

Record 6
## LiTlI3 (GGA-PBE)

Data for LiTlI3 after structural relaxation.

Values from the calculation:
* E_form (uncorrected): -0.550 eV/atom
* size of the total moment: 0.00 μB per atom
* final energy: -11.680 eV/cell
* calculated volume: 183 Å³ per cell
* distance to the lowest polymorph of the same formula: 0.000 eV/atom

a = 5.6723 Å, b = 5.6723 Å, c = 5.6723 Å
α = 90.00°, β = 90.00°, γ = 90.00°
Last column: nearest neighbours and their distance in Å.
Fractional coordinates of all 5 atoms:
I: 0.0000 0.5000 0.0000  2 Li 2.84
I: 0.0000 0.0000 0.5000  2 Li 2.84
I: 0.5000 0.0000 0.0000  2 Li 2.84
Tl: 0.5000 0.5000 0.5000  12 I 4.01
Li: 0.0000 0.0000 0.0000  6 I 2.84